Computed, not measured: a relaxed BMo2H crystal at the PBE level of DFT.

Cell lengths 3.107, 4.709, 5.478 Å; angles 90.00, 90.00, 90.00 degrees
Fractional positions:
B 0.500 0.000 0.500
B 0.500 0.500 0.500
Mo 0.500 0.750 0.848
Mo 0.500 0.250 0.152
Mo 0.000 0.250 0.688
Mo 0.000 0.750 0.312
H 0.000 0.500 0.000
H 0.000 0.000 0.000

Summary:
ΔE to the lowest computed polymorph, eV per atom: 0.000
M_tot, μB per atom: 0.000